Entry 1:
Below is an optimized crystal structure of ZrFe2Rh, with properties calculated at the PBE level.

Geometry as POSCAR:
```
ZrFe2Rh
1.0
2.621 -4.311 0.000
2.621 4.311 0.000
-1.001 0.000 2.663
Zr Fe Rh
1 2 1
Direct
0.000 0.000 0.000
0.000 0.500 0.500
0.500 0.000 0.500
0.500 0.500 0.000
```

## Properties
The calculation puts the total moment at 5.0 μB/cell. Its formation energy is -0.046 eV/atom.

***

Entry 2:
Below is an optimized crystal structure of NpPtRhAu, with properties calculated at the PBE level.

Geometry as POSCAR:
```
NpPtRhAu
1.0
0.000 3.322 3.322
3.322 0.000 3.322
3.322 3.322 0.000
Np Pt Rh Au
1 1 1 1
Direct
0.000 0.000 0.000
0.250 0.250 0.250
0.750 0.750 0.750
0.500 0.500 0.500
```

## Properties
The calculation puts the total moment at 3.1 μB/cell. As for the energy above the most stable polymorph in this dataset: 6.4 kJ/mol of atoms. Its formation energy is -0.344 eV/atom.

***

Entry 3:
Below is an optimized crystal structure of K3AsAu8, with properties calculated at the PBE level.

Geometry as POSCAR:
```
K3AsAu8
1.0
2.989 1.726 9.143
-2.989 1.726 9.143
0.000 -3.452 9.143
K As Au
3 1 8
Direct
0.000 0.000 0.000
0.128 0.128 0.128
0.517 0.517 0.517
0.669 0.669 0.669
0.065 0.065 0.566
0.065 0.566 0.065
0.088 0.556 0.556
0.313 0.313 0.313
0.556 0.088 0.556
0.556 0.556 0.088
0.566 0.065 0.065
0.816 0.816 0.816
```

## Properties
The calculation puts the total moment at 0.0 μB/cell. Its formation energy is -0.170 eV/atom.

***

Entry 4:
Below is an optimized crystal structure of ReSeBr2, with properties calculated at the PBE level.

Geometry as POSCAR:
```
ReSeBr2
1.0
5.003 0.000 0.000
0.000 5.003 0.000
0.000 0.000 3.096
Re Se Br
1 1 2
Direct
0.000 0.000 0.000
0.500 0.500 0.000
0.000 0.500 0.500
0.500 0.000 0.500
```

## Properties
The uncorrected formation energy is 1.488 eV/atom. The calculation puts the total moment at 0.0 μB/cell. As for the energy above the most stable polymorph in this dataset: 139.4 kJ/mol of atoms.

***

Entry 5:
Below is an optimized crystal structure of Y2ErCu, with properties calculated at the PBE level.

Geometry as POSCAR:
```
Y2ErCu
1.0
1.831 1.057 9.644
-1.831 1.057 9.644
0.000 -2.115 9.644
Y Er Cu
2 1 1
Direct
0.000 0.000 0.000
0.198 0.198 0.198
0.765 0.765 0.765
0.599 0.599 0.599
```

## Properties
The calculation puts the total moment at 0.6 μB/cell. As for the energy above the most stable polymorph in this dataset: 13.8 kJ/mol of atoms. Its formation energy is 0.029 eV/atom.

***

Entry 6:
Below is an optimized crystal structure of K2CeAgCl6, with properties calculated at the PBE level.

Geometry as POSCAR:
```
K2CeAgCl6
1.0
7.374 0.000 0.000
0.000 7.758 0.000
-7.151 0.000 10.545
K Ce Ag Cl
4 2 2 12
Direct
0.221 0.072 0.247
0.221 0.428 0.747
0.779 0.572 0.253
0.779 0.928 0.753
0.500 0.000 0.000
0.500 0.500 0.500
0.000 0.000 0.500
0.000 0.500 0.000
0.144 0.196 0.946
0.144 0.304 0.446
0.252 0.704 0.944
0.252 0.796 0.444
0.358 0.034 0.749
0.358 0.466 0.249
0.642 0.534 0.751
0.642 0.966 0.251
0.748 0.204 0.556
0.748 0.296 0.056
0.856 0.696 0.554
0.856 0.804 0.054
```

## Properties
The uncorrected formation energy is -1.771 eV/atom. The calculation puts the total moment at 2.0 μB/cell. As for the energy above the most stable polymorph in this dataset: 0.0 kJ/mol of atoms.

***

Entry 7:
Below is an optimized crystal structure of Hf2CuHg2S6, with properties calculated at the PBE level.

Geometry as POSCAR:
```
Hf2CuHg2S6
1.0
3.117 -5.604 0.000
3.117 5.604 0.000
-2.819 0.000 7.784
Hf Cu Hg S
2 1 2 6
Direct
0.157 0.843 0.000
0.843 0.157 0.000
0.500 0.500 0.000
0.279 0.721 0.500
0.721 0.279 0.500
0.095 0.095 0.821
0.257 0.594 0.182
0.406 0.743 0.818
0.594 0.257 0.182
0.743 0.406 0.818
0.905 0.905 0.179
```

## Properties
The uncorrected formation energy is -0.788 eV/atom. The calculation puts the total moment at 0.0 μB/cell.

***

Entry 8:
Below is an optimized crystal structure of Cr2CuIr, with properties calculated at the PBE level.

Geometry as POSCAR:
```
Cr2CuIr
1.0
2.633 0.000 0.000
0.000 4.165 0.000
0.000 0.000 4.576
Cr Cu Ir
2 1 1
Direct
0.000 0.000 0.000
0.000 0.500 0.323
0.500 0.500 0.837
0.500 0.000 0.502
```

## Properties
The calculation puts the total moment at 0.2 μB/cell. Its formation energy is 0.042 eV/atom.

***

Entry 9:
Below is an optimized crystal structure of NaPaSn6, with properties calculated at the PBE level.

Geometry as POSCAR:
```
NaPaSn6
1.0
4.622 0.000 0.000
0.000 4.622 0.000
0.000 0.000 9.661
Na Pa Sn
1 1 6
Direct
0.000 0.000 0.000
0.000 0.000 0.500
0.000 0.500 0.250
0.000 0.500 0.750
0.500 0.000 0.250
0.500 0.000 0.750
0.500 0.500 0.000
0.500 0.500 0.500
```

## Properties
The calculation puts the total moment at 0.0 μB/cell. Its formation energy is -0.171 eV/atom.

***

Entry 10:
Below is an optimized crystal structure of PrNdSm5, with properties calculated at the PBE level.

Geometry as POSCAR:
```
PrNdSm5
1.0
-4.021 5.902 3.153
4.021 -5.902 3.153
4.021 5.902 -3.153
Pr Nd Sm
1 1 5
Direct
0.000 0.000 0.000
0.234 0.734 0.500
0.255 0.003 0.252
0.501 0.321 0.820
0.501 0.681 0.180
0.751 0.003 0.748
0.767 0.267 0.500
```

## Properties
The calculation puts the total moment at 0.0 μB/cell. As for the energy above the most stable polymorph in this dataset: 67.3 kJ/mol of atoms. Its formation energy is 0.864 eV/atom.

***

Entry 11:
Below is an optimized crystal structure of TlCrSn2Cl8, with properties calculated at the PBE level.

Geometry as POSCAR:
```
TlCrSn2Cl8
1.0
6.203 0.000 0.000
-0.024 7.339 0.000
-2.126 -1.960 8.073
Tl Cr Sn Cl
1 1 2 8
Direct
0.000 0.000 0.000
0.000 0.000 0.500
0.474 0.390 0.734
0.526 0.610 0.266
0.166 0.722 0.396
0.200 0.181 0.385
0.261 0.623 0.980
0.300 0.066 0.747
0.700 0.934 0.253
0.739 0.377 0.020
0.800 0.819 0.615
0.834 0.278 0.604
```

## Properties
The uncorrected formation energy is -1.017 eV/atom. The calculation puts the total moment at 3.0 μB/cell.

***

Entry 12:
Below is an optimized crystal structure of Nd3Cd3Hg, with properties calculated at the PBE level.

Geometry as POSCAR:
```
Nd3Cd3Hg
1.0
-1.782 2.515 10.738
1.782 -2.515 10.738
1.782 2.515 -10.738
Nd Cd Hg
3 3 1
Direct
0.000 0.000 0.000
0.394 0.394 0.000
0.700 0.200 0.500
0.130 0.630 0.500
0.557 0.557 0.000
0.841 0.841 0.000
0.265 0.765 0.500
```

## Properties
The calculation puts the total moment at 0.0 μB/cell. Its formation energy is -0.322 eV/atom.